## Zr2AlSb (PBE)

Data for a geometry-optimized Zr2AlSb structure.

It has space group Cm (No. 8), with a = 10.981 Å, b = 3.124 Å, c = 5.130 Å, α = 90.00°, β = 103.34° and γ = 90.00°. The distinct sites, in fractional coordinates, are Zr at (0.000, 0.000, 0.000), Zr at (0.214, 0.000, 0.614), Al at (0.476, 0.000, 0.502) and Sb at (0.249, 0.500, 0.133).

The uncorrected formation energy comes out at -35.4 kJ/mol of atoms. For the offset from the most stable computed form, the calculation gives 0.764 eV per formula unit.

## Zr2AlSb (PBE)

Data for a geometry-optimized Zr2AlSb structure.

It has space group I-4m2 (No. 119), with a = 4.186 Å, b = 4.186 Å, c = 9.605 Å, α = 90.00°, β = 90.00° and γ = 90.00°. The distinct sites, in fractional coordinates, are Zr at (0.000, 0.000, 0.000), Zr at (0.000, 0.500, 0.250), Al at (0.000, 0.000, 0.500) and Sb at (0.000, 0.500, 0.750).

The uncorrected formation energy comes out at -44.3 kJ/mol of atoms. For the offset from the most stable computed form, the calculation gives 0.394 eV per formula unit.

## Zr2AlSb (PBE)

Data for a geometry-optimized Zr2AlSb structure.

It has space group P4/mmm (No. 123), with a = 3.716 Å, b = 3.716 Å, c = 6.131 Å, α = 90.00°, β = 90.00° and γ = 90.00°. The distinct sites, in fractional coordinates, are Zr at (0.000, 0.000, 0.244), Al at (0.500, 0.500, 0.000) and Sb at (0.500, 0.500, 0.500).

The uncorrected formation energy comes out at -37.4 kJ/mol of atoms. For the offset from the most stable computed form, the calculation gives 0.684 eV per formula unit.

## ZrAl2Sb (PBE)

Data for a geometry-optimized ZrAl2Sb structure.

It has space group P4mm (No. 99), with a = 3.717 Å, b = 3.717 Å, c = 5.876 Å, α = 90.00°, β = 90.00° and γ = 90.00°. The distinct sites, in fractional coordinates, are Zr at (0.000, 0.000, 0.000), Al at (0.000, 0.000, 0.485), Al at (0.500, 0.500, 0.256) and Sb at (0.500, 0.500, 0.747).

The uncorrected formation energy comes out at -28.9 kJ/mol of atoms.

## ZrAl2Sb (PBE)

Data for a geometry-optimized ZrAl2Sb structure.

It has space group Cm (No. 8), with a = 10.323 Å, b = 3.056 Å, c = 5.239 Å, α = 90.00°, β = 95.73° and γ = 90.00°. The distinct sites, in fractional coordinates, are Zr at (0.000, 0.000, 0.000), Al at (0.242, 0.500, 0.265), Al at (0.486, 0.000, 0.477) and Sb at (0.257, 0.000, 0.772).

The uncorrected formation energy comes out at -16.2 kJ/mol of atoms.

## Zr2AlSb (PBE)

Data for a geometry-optimized Zr2AlSb structure.

It has space group Cmmm (No. 65), with a = 4.158 Å, b = 4.947 Å, c = 8.289 Å, α = 90.00°, β = 90.00° and γ = 90.00°. The distinct sites, in fractional coordinates, are Zr at (0.000, 0.000, 0.238), Al at (0.000, 0.500, 0.000) and Sb at (0.000, 0.500, 0.500).

The uncorrected formation energy comes out at -38.0 kJ/mol of atoms. For the offset from the most stable computed form, the calculation gives 0.658 eV per formula unit.

## ZrAl2Sb (PBE)

Data for a geometry-optimized ZrAl2Sb structure.

It has space group Cmmm (No. 65), with a = 5.848 Å, b = 8.666 Å, c = 3.225 Å, α = 90.00°, β = 90.00° and γ = 90.00°. The distinct sites, in fractional coordinates, are Zr at (0.000, 0.000, 0.000), Al at (0.250, 0.250, 0.500) and Sb at (0.000, 0.500, 0.000).

The uncorrected formation energy comes out at -12.3 kJ/mol of atoms.

## ZrAl2Sb (PBE)

Data for a geometry-optimized ZrAl2Sb structure.

It has space group Pm (No. 6), with a = 3.008 Å, b = 4.797 Å, c = 5.687 Å, α = 90.00°, β = 90.11° and γ = 90.00°. The distinct sites, in fractional coordinates, are Zr at (0.000, 0.000, 0.000), Al at (0.501, 0.500, 0.213), Al at (0.503, 0.000, 0.445) and Sb at (0.500, 0.500, 0.723).

The uncorrected formation energy comes out at -20.5 kJ/mol of atoms.

## ZrAl2Sb (PBE)

Data for a geometry-optimized ZrAl2Sb structure.

It has space group R-3m (No. 166, hexagonal axes), with a = 3.2286 Å, b = 3.2286 Å, c = 28.2833 Å, α = 90.00°, β = 90.00° and γ = 120.00°. The distinct sites, in fractional coordinates, are Zr at (0.0000, 0.0000, 0.0000), Al at (0.0000, 0.0000, 0.2525) and Sb at (0.0000, 0.0000, 0.5000).

The uncorrected formation energy comes out at -0.9 kJ/mol of atoms.

## ZrAlSb (PBE)

Data for a geometry-optimized ZrAlSb structure.

It has space group I4mm (No. 107), with a = 3.115 Å, b = 3.115 Å, c = 14.351 Å, α = 90.00°, β = 90.00° and γ = 90.00°. The distinct sites, in fractional coordinates, are Zr at (0.000, 0.000, 0.000), Al at (0.000, 0.000, 0.633) and Sb at (0.000, 0.000, 0.337).

The uncorrected formation energy comes out at -11.2 kJ/mol of atoms.

## Sc3Al (PBE)

Data for a geometry-optimized Sc3Al structure.

It has space group I4/mmm (No. 139), with a = 4.338 Å, b = 4.338 Å, c = 9.199 Å, α = 90.00°, β = 90.00° and γ = 90.00°. The distinct sites, in fractional coordinates, are Sc at (0.000, 0.000, 0.000), Sc at (0.000, 0.500, 0.250) and Al at (0.000, 0.000, 0.500).

The formation energy is -0.21 eV per atom.

## Sc2Al (PBE)

Data for a geometry-optimized Sc2Al structure.

It has space group I4_1/amd (No. 141, origin choice 2), with a = 3.079 Å, b = 3.079 Å, c = 27.514 Å, α = 90.00°, β = 90.00° and γ = 90.00°. The distinct sites, in fractional coordinates, are Sc at (0.000, 0.250, 0.303) and Al at (0.000, 0.250, 0.875).

The formation energy is -0.18 eV per atom.

Number 1: final energy -26.43 eV/f.u.. Number 2: final energy -26.80 eV/f.u.. Number 3: final energy -26.51 eV/f.u.. Number 4: final energy -21.35 eV/f.u.. Number 5: final energy -20.83 eV/f.u.. Number 6: final energy -26.54 eV/f.u.. Number 7: final energy -20.67 eV/f.u.. Number 8: final energy -21.00 eV/f.u.. Number 9: final energy -20.19 eV/f.u.. Number 10: final energy -16.76 eV/f.u.. Number 11: final energy -23.57 eV/f.u.. Number 12: final energy -16.94 eV/f.u..